Ti2Si2Mo | SCAN | PBEsol geometry

abc: 6.4878 6.4878 3.4336
angles: 90.00 90.00 90.00
With the nearest neighbours (Å) after each atom.
Fractional positions:
Ti 0.1719 0.3281 0.0000  6 Si 2.51-2.61
Ti 0.3281 0.8281 0.0000  6 Si 2.51-2.61
Ti 0.6719 0.1719 0.0000  6 Si 2.51-2.61
Ti 0.8281 0.6719 0.0000  6 Si 2.51-2.61
Si 0.1289 0.6289 0.5000  1 Si 2.37, 6 Ti 2.51-2.61, 2 Mo 2.55
Si 0.3711 0.1289 0.5000  1 Si 2.37, 6 Ti 2.51-2.61, 2 Mo 2.55
Si 0.6289 0.8711 0.5000  1 Si 2.37, 6 Ti 2.51-2.61, 2 Mo 2.55
Si 0.8711 0.3711 0.5000  1 Si 2.37, 6 Ti 2.51-2.61, 2 Mo 2.55
Mo 0.0000 0.0000 0.5000  4 Si 2.55
Mo 0.5000 0.5000 0.5000  4 Si 2.55

Summary:
Total DFT energy (no corrections): -181.3 eV for the cell shown
Crystal system: tetragonal